Record 1
A plane-wave DFT calculation with PBE was carried out for a geometry-optimized Tb8TeP3Se4 structure.

SG: R-3m, No. 166
total energy: -0.2247 hartree per atom

a b c (Å): 8.2304 8.2304 8.2304
angles (deg): 59.93 59.93 59.93
Last column: nearest neighbours and their distance in Å.
Fractional coordinates of all 16 atoms:
Tb 0.2248 0.7570 0.7570  2 P 2.81, 3 Se 2.83-3.02, 1 Te 2.99
Tb 0.2429 0.2429 0.2429  3 P 2.83, 3 Se 2.99
Tb 0.2430 0.2430 0.7752  2 P 2.81, 3 Se 2.83-3.02, 1 Te 2.99
Tb 0.2430 0.7752 0.2430  2 P 2.81, 3 Se 2.83-3.02, 1 Te 2.99
Tb 0.7570 0.2248 0.7570  2 P 2.81, 3 Se 2.83-3.02, 1 Te 2.99
Tb 0.7570 0.7570 0.2248  2 P 2.81, 3 Se 2.83-3.02, 1 Te 2.99
Tb 0.7571 0.7571 0.7571  3 P 2.83, 3 Se 2.99
Tb 0.7752 0.2430 0.2430  2 P 2.81, 3 Se 2.83-3.02, 1 Te 2.99
Te 0.5000 0.5000 0.5000  6 Tb 2.99
P 0.0000 0.0000 0.5000  6 Tb 2.81-2.83
P 0.0000 0.5000 0.0000  6 Tb 2.81-2.83
P 0.5000 0.0000 0.0000  6 Tb 2.81-2.83
Se 0.0000 0.0000 0.0000  6 Tb 2.83
Se 0.0000 0.5000 0.5000  6 Tb 2.99-3.02
Se 0.5000 0.0000 0.5000  6 Tb 2.99-3.02
Se 0.5000 0.5000 0.0000  6 Tb 2.99-3.02


Record 2
A plane-wave DFT calculation with PBE was carried out for a geometry-optimized Dy3Zn2Ni structure.

SG: P4/mmm, No. 123
total energy: -0.1491 hartree per atom
E above lowest polymorph: 0.000 eV/atom
ΔE_f: -2.21 eV/f.u.

a b c (Å): 3.4980 3.4980 10.5234
angles (deg): 90.00 90.00 90.00
Last column: nearest neighbours and their distance in Å.
Fractional coordinates of all 6 atoms:
Dy 0.0000 0.0000 0.0000  8 Zn 3.05
Dy 0.0000 0.0000 0.3458  4 Ni 2.96, 4 Zn 3.09, 1 Dy 3.25
Dy 0.0000 0.0000 0.6542  4 Ni 2.96, 4 Zn 3.09, 1 Dy 3.25
Zn 0.5000 0.5000 0.1693  8 Dy 3.05-3.09
Zn 0.5000 0.5000 0.8307  8 Dy 3.05-3.09
Ni 0.5000 0.5000 0.5000  8 Dy 2.96


Record 3
A plane-wave DFT calculation with PBE was carried out for a geometry-optimized ScTi2ZnN structure.

SG: P4/mmm, No. 123
total energy: -0.2661 hartree per atom

a b c (Å): 4.1357 4.1357 4.3506
angles (deg): 90.00 90.00 90.00
Last column: nearest neighbours and their distance in Å.
Fractional coordinates of all 5 atoms:
Sc 0.0000 0.0000 0.0000  2 N 2.18
Ti 0.0000 0.5000 0.5000  2 N 2.07
Ti 0.5000 0.0000 0.5000  2 N 2.07
Zn 0.5000 0.5000 0.0000  4 Sc 2.92, 8 Ti 3.00
N 0.0000 0.0000 0.5000  4 Ti 2.07, 2 Sc 2.18


Record 4
A plane-wave DFT calculation with PBE was carried out for a geometry-optimized TlAsRh2 structure.

SG: C2/m, No. 12
total energy: -0.2040 hartree per atom
ΔE_f: -0.48 eV/f.u.

a b c (Å): 3.8846 3.8846 7.2500
angles (deg): 106.57 106.57 46.57
Last column: nearest neighbours and their distance in Å.
Fractional coordinates of all 4 atoms:
Tl 0.0000 0.0000 0.0000  4 Rh 2.84, 2 Tl 3.07
As 0.5000 0.5000 0.5000  6 Rh 2.43-2.47
Rh 0.2651 0.2651 0.6816  3 As 2.43-2.47
Rh 0.7349 0.7349 0.3184  3 As 2.43-2.47